Density functional theory data (PBE with a Hubbard U) for WO2 after structural relaxation.

Total moment   2.00 μB/f.u.
DFT total energy   -7.241 eV per atom

a b c (Å): 8.955 8.955 8.955
angles (deg): 90.00 90.00 90.00
Space group Fd-3m (No. 227, origin choice 2)
Symmetry-distinct sites (fractional):
W 0.000 0.000 0.000 x16
O 0.016 0.016 0.234 x32